The following is a DFT calculation (PBE-GGA) of a relaxed Rb2BrO3 crystal.

Lattice parameters (Å, degrees): 9.3250 7.9331 7.4894 74.34 55.00 50.66
With the nearest neighbours (Å) after each atom.
Positions (direct):
1 Rb 0.2312 0.7688 0.7688  6 O 2.84-3.17
2 Rb 0.2500 0.2500 0.2500  4 O 2.92
3 Rb 0.7500 0.7500 0.7500  4 O 2.92
4 Rb 0.7688 0.2312 0.2312  6 O 2.84-3.17
5 Br 0.2279 0.2279 0.7721  3 O 1.87-1.88
6 Br 0.7721 0.7721 0.2279  3 O 1.87-1.88
7 O 0.0280 0.2718 0.7282  1 Br 1.88
8 O 0.2718 0.0280 0.9720  1 Br 1.88
9 O 0.3646 0.3646 0.6354  1 Br 1.87
10 O 0.6354 0.6354 0.3646  1 Br 1.87
11 O 0.7282 0.9720 0.0280  1 Br 1.88
12 O 0.9720 0.7282 0.2718  1 Br 1.88

Calculated density = 2.86 g/cm3
Formation energy without anion corrections = -0.64 eV/atom